The following is a PBE calculation of crystalline Cs4IN12 at its relaxed geometry, from the Alexandria database.

Calculated values
Its total energy is -6.415 eV/atom. The formation energy (no corrections) comes out at -0.246 eV per atom. The value obtained for the total magnetic moment is 6.175 Bohr magnetons per cell.

```
data_Cs4IN12
_chemical_formula_sum 'Cs8 I2 N24'
_cell_length_a 9.8728
_cell_length_b 9.8728
_cell_length_c 9.8728
_cell_angle_alpha 90.00
_cell_angle_beta 90.00
_cell_angle_gamma 90.00
_space_group_name_H-M_alt 'I m -3'
_space_group_IT_number 204
_space_group_name_Hall '-I 2 2 3'
loop_
_atom_site_label
_atom_site_fract_x
_atom_site_fract_y
_atom_site_fract_z
Cs1 0.2500 0.2500 0.2500
I1 0.0000 0.0000 0.0000
N1 0.0000 0.4419 0.1439
```